--- a ---
This record from Alexandria describes ZnSiNF2 after structural relaxation. The functional is GGA-PBE.

POSCAR file:
```
ZnSiNF2
1.0
4.127 0.000 0.000
0.000 4.127 0.000
0.000 0.000 3.294
Zn N Si F
1 1 1 2
direct
0.500 0.500 0.500
0.000 0.000 0.500
0.000 0.000 0.000
0.500 0.000 0.000
0.000 0.500 0.000
```

=====

--- b ---
This record from Alexandria describes ZnSiNF2 after structural relaxation. The functional is GGA-PBE.

POSCAR file:
```
ZnSiNF2
1.0
3.850 0.000 0.000
0.000 3.850 0.000
0.000 0.000 4.269
F N Si Zn
2 1 1 1
direct
0.000 0.500 0.000
0.500 0.000 0.000
0.000 0.000 0.500
0.500 0.500 0.500
0.000 0.000 0.000
```

=====

Energetically preferred structure: a | next structure: +65.1 kJ/mol of atoms

=====

--- a ---
This record from Alexandria describes Sn2NF after structural relaxation. The functional is GGA-PBE.

POSCAR file:
```
Sn2NF
1.0
-0.900 1.757 4.061
0.146 4.472 0.607
-3.820 2.314 0.662
F Sn N
1 2 1
direct
0.500 0.500 0.500
0.750 0.750 0.750
0.250 0.250 0.250
0.000 0.000 0.000
```

=====

--- b ---
This record from Alexandria describes Sn2NF after structural relaxation. The functional is GGA-PBE.

POSCAR file:
```
Sn2NF
1.0
-4.967 -3.730 -2.204
2.254 -5.088 3.532
-3.252 -3.432 3.281
N Sn F
2 4 2
direct
0.250 0.750 0.500
0.500 0.500 0.000
0.875 0.825 0.750
0.175 0.625 0.250
0.575 0.125 0.250
0.375 0.425 0.750
0.750 0.250 0.500
0.000 0.000 0.000
```

=====

Energetically preferred structure: b | next structure: +27.9 kJ/mol of atoms

=====

--- a ---
This record from Alexandria describes SnN2F2 after structural relaxation. The functional is GGA-PBE.

POSCAR file:
```
SnN2F2
1.0
-2.909 2.868 0.591
-0.687 -3.679 -1.791
-11.036 3.105 7.636
N Sn F
2 1 2
direct
0.366 0.393 0.551
0.662 0.609 0.441
0.944 0.047 0.004
0.713 0.730 0.881
0.315 0.222 0.123
```

=====

--- b ---
This record from Alexandria describes SnN2F2 after structural relaxation. The functional is GGA-PBE.

POSCAR file:
```
SnN2F2
1.0
3.658 0.000 0.000
0.000 3.658 0.000
0.000 0.000 4.665
F N Sn
2 2 1
direct
0.000 0.000 0.000
0.000 0.000 0.500
0.500 0.000 0.000
0.000 0.500 0.000
0.500 0.500 0.500
```

=====

Energetically preferred structure: a | next structure: +238.6 kJ/mol of atoms

=====

--- a ---
This record from Alexandria describes SnNF3 after structural relaxation. The functional is GGA-PBE.

POSCAR file:
```
SnNF3
1.0
-4.157 -1.011 -4.538
0.037 -5.405 -3.111
-5.026 -4.396 1.236
N F Sn
2 6 2
direct
0.895 0.896 0.308
0.104 0.105 0.692
0.573 0.574 0.784
0.426 0.427 0.216
0.425 0.928 0.216
0.572 0.073 0.784
0.927 0.428 0.216
0.072 0.575 0.784
0.666 0.667 0.001
0.333 0.334 0.999
```

=====

--- b ---
This record from Alexandria describes SnNF3 after structural relaxation. The functional is GGA-PBE.

POSCAR file:
```
SnNF3
1.0
5.723 -3.006 0.392
5.723 3.006 0.392
3.813 0.000 5.235
N F Sn
2 6 2
direct
0.319 0.319 0.319
0.681 0.681 0.681
0.879 0.620 0.157
0.157 0.879 0.620
0.620 0.157 0.879
0.380 0.843 0.121
0.843 0.121 0.380
0.121 0.380 0.843
0.191 0.191 0.191
0.809 0.809 0.809
```

=====

--- c ---
This record from Alexandria describes SnNF3 after structural relaxation. The functional is GGA-PBE.

POSCAR file:
```
SnNF3
1.0
3.472 0.098 -0.108
-0.756 6.630 0.159
-1.518 -0.776 6.407
Sn N F
2 2 6
direct
0.626 0.946 0.771
0.374 0.054 0.229
0.785 0.876 0.111
0.215 0.124 0.889
0.233 0.332 0.860
0.547 0.182 0.534
0.767 0.668 0.140
0.091 0.749 0.765
0.909 0.251 0.235
0.453 0.818 0.466
```

=====

Energetically preferred structure: c | next structure: +16.0 kJ/mol of atoms

=====

--- a ---
This record from Alexandria describes SrSnN2F after structural relaxation. The functional is GGA-PBE.

POSCAR file:
```
SrSnN2F
1.0
-2.180 0.483 3.494
1.492 -3.596 1.427
3.398 2.135 1.825
Sr N Sn F
1 2 1 1
direct
0.500 0.500 0.500
0.000 0.500 0.000
0.500 0.000 0.000
0.000 0.000 0.000
0.000 0.000 0.500
```

=====

--- b ---
This record from Alexandria describes SrSnN2F after structural relaxation. The functional is GGA-PBE.

POSCAR file:
```
SrSnN2F
1.0
-3.106 2.136 -3.114
-3.752 -1.285 2.860
0.395 3.850 2.247
Sn N F Sr
1 2 1 1
direct
0.500 0.500 0.500
0.000 0.500 0.000
0.500 0.000 0.000
0.000 0.000 0.500
0.000 0.000 0.000
```

=====

Energetically preferred structure: a | next structure: +103.0 kJ/mol of atoms

=====

--- a ---
This record from Alexandria describes TaSnN2F after structural relaxation. The functional is GGA-PBE.

POSCAR file:
```
TaSnN2F
1.0
-0.911 2.941 2.776
0.763 -2.670 3.078
3.912 1.170 0.045
Sn Ta N F
1 1 2 1
direct
0.500 0.500 0.500
0.000 0.000 0.000
0.000 0.500 0.000
0.500 0.000 0.000
0.000 0.000 0.500
```

=====

--- b ---
This record from Alexandria describes TaSnN2F after structural relaxation. The functional is GGA-PBE.

POSCAR file:
```
TaSnN2F
1.0
4.162 0.000 0.000
0.000 4.162 0.000
0.000 0.000 3.906
Ta N F Sn
1 2 1 1
direct
0.500 0.500 0.500
0.500 0.000 0.000
0.000 0.500 0.000
0.000 0.000 0.500
0.000 0.000 0.000
```

=====

Energetically preferred structure: a | next structure: +132.7 kJ/mol of atoms